Here is a geometry-optimized ReSiIr2 structure from the Alexandria database. Energies are from GGA-PBE.

Computed properties:
raw total energy	-8.79	eV per atom
ΔE_f (raw)	11	kJ/mol of atoms

a b c (Å): 4.3283 4.3283 4.3283
angles (deg): 60.00 60.00 60.00
Last column: nearest neighbours and their distance in Å.
Fractional coordinates of all 4 atoms:
Ir 0.0000 0.0000 0.0000  4 Ir 2.65, 4 Si 2.65
Ir 0.2500 0.2500 0.2500  4 Re 2.65, 4 Ir 2.65
Re 0.5000 0.5000 0.5000  4 Si 2.65, 4 Ir 2.65
Si 0.7500 0.7500 0.7500  4 Re 2.65, 4 Ir 2.65



Here is a geometry-optimized LaSm4Se6 structure from the Alexandria database. Energies are from GGA-PBE.

Computed properties:
raw total energy	-5.97	eV per atom
ΔE_f (raw)	-183	kJ/mol of atoms

a b c (Å): 4.1385 7.1592 21.1451
angles (deg): 90.00 90.00 106.80
Last column: nearest neighbours and their distance in Å.
Fractional coordinates of all 22 atoms:
Se 0.9502 0.9004 0.6661  3 Sm 2.95-2.97, 2 La 3.10
Se 0.9502 0.9004 0.8339  3 Sm 2.95-2.97, 2 La 3.10
Se 0.6848 0.3696 0.7500  2 Sm 2.92, 2 La 3.00
Se 0.2324 0.4649 0.9082  5 Sm 2.92-3.03
Se 0.5000 0.0000 0.0000  6 Sm 2.94-2.95
Se 0.0498 0.0996 0.3339  3 Sm 2.95-2.97, 2 La 3.10
Se 0.0498 0.0996 0.1661  3 Sm 2.95-2.97, 2 La 3.10
Se 0.5000 0.0000 0.5000  6 Sm 2.94-2.95
Se 0.7676 0.5351 0.4082  5 Sm 2.92-3.03
Se 0.7676 0.5351 0.0918  5 Sm 2.92-3.03
Se 0.2324 0.4649 0.5918  5 Sm 2.92-3.03
Se 0.3152 0.6304 0.2500  2 Sm 2.92, 2 La 3.00
Sm 0.1410 0.2821 0.4612  6 Se 2.92-3.03
Sm 0.5907 0.1814 0.8738  6 Se 2.92-2.95
Sm 0.4093 0.8186 0.1262  6 Se 2.92-2.95
Sm 0.8590 0.7179 0.9612  6 Se 2.92-3.03
Sm 0.5907 0.1814 0.6262  6 Se 2.92-2.95
Sm 0.1410 0.2821 0.0388  6 Se 2.92-3.03
Sm 0.8590 0.7179 0.5388  6 Se 2.92-3.03
Sm 0.4093 0.8186 0.3738  6 Se 2.92-2.95
La 0.6571 0.3142 0.2500  6 Se 3.00-3.10
La 0.3429 0.6858 0.7500  6 Se 3.00-3.10



Here is a geometry-optimized CaYSc structure from the Alexandria database. Energies are from GGA-PBE.

Computed properties:
raw total energy	-4.74	eV per atom
distance to the lowest polymorph of the same formula	0.35	eV per formula unit
DFT formation energy	0.57	eV per formula unit

a b c (Å): 6.2854 6.2854 6.2854
angles (deg): 147.34 133.70 57.81
Last column: nearest neighbours and their distance in Å.
Fractional coordinates of all 3 atoms:
Y 0.3225 0.3225 0.0000  4 Sc 3.45, 5 Ca 3.51-3.63, 2 Y 3.54
Ca 0.0033 0.0033 0.0000  5 Y 3.51-3.63, 2 Ca 3.54, 5 Sc 3.57-3.62
Sc 0.6742 0.6742 0.0000  4 Y 3.45, 2 Sc 3.54, 5 Ca 3.57-3.62



Here is a geometry-optimized AcNdTlAu structure from the Alexandria database. Energies are from GGA-PBE.

Computed properties:
raw total energy	-4.14	eV per atom
distance to the lowest polymorph of the same formula	0.22	eV per formula unit
DFT formation energy	-2.02	eV per formula unit

a b c (Å): 5.5582 5.5582 5.5582
angles (deg): 60.00 60.00 60.00
Last column: nearest neighbours and their distance in Å.
Fractional coordinates of all 4 atoms:
Nd 0.2500 0.2500 0.2500  4 Tl 3.40, 4 Au 3.40
Ac 0.7500 0.7500 0.7500  4 Tl 3.40, 4 Au 3.40
Tl 0.5000 0.5000 0.5000  4 Ac 3.40, 4 Nd 3.40
Au 0.0000 0.0000 0.0000  4 Ac 3.40, 4 Nd 3.40



Here is a geometry-optimized NdBeGe2Ru2 structure from the Alexandria database. Energies are from GGA-PBE.

Computed properties:
raw total energy	-6.54	eV per atom
DFT formation energy	-2.94	eV per formula unit

a b c (Å): 4.2790 4.2790 5.5059
angles (deg): 90.00 90.00 90.00
Last column: nearest neighbours and their distance in Å.
Fractional coordinates of all 6 atoms:
Nd 0.0000 0.0000 0.5000  2 Be 2.75
Ge 0.5000 0.5000 0.7359  4 Ru 2.59, 1 Ge 2.60
Ge 0.5000 0.5000 0.2641  4 Ru 2.59, 1 Ge 2.60
Be 0.0000 0.0000 0.0000  4 Ru 2.14
Ru 0.0000 0.5000 0.0000  2 Be 2.14
Ru 0.5000 0.0000 0.0000  2 Be 2.14



Here is a geometry-optimized SrSi2Ag structure from the Alexandria database. Energies are from GGA-PBE.

Computed properties:
raw total energy	-3.96	eV per atom
ΔE_f (raw)	-11	kJ/mol of atoms

a b c (Å): 6.0968 6.0968 6.0968
angles (deg): 41.64 41.64 41.64
Last column: nearest neighbours and their distance in Å.
Fractional coordinates of all 4 atoms:
Si 0.4595 0.4595 0.4595  3 Ag 2.60, 3 Si 2.88
Si 0.0405 0.0405 0.0405  3 Ag 2.60, 3 Si 2.88
Sr 0.2500 0.2500 0.2500  8 Si 3.24-3.50
Ag 0.7500 0.7500 0.7500  6 Si 2.60



Here is a geometry-optimized Ac2CdBi4Pd3 structure from the Alexandria database. Energies are from GGA-PBE.

Computed properties:
raw total energy	-4.59	eV per atom
DFT formation energy	-5.66	eV per formula unit

a b c (Å): 4.8664 4.8664 11.5304
angles (deg): 90.00 90.00 90.00
Last column: nearest neighbours and their distance in Å.
Fractional coordinates of all 10 atoms:
Cd 0.5000 0.5000 0.5000  4 Bi 2.92
Bi 0.0000 0.0000 0.0000  4 Pd 2.83
Bi 0.0000 0.5000 0.3594  3 Pd 2.69-2.92, 2 Cd 2.92
Bi 0.5000 0.0000 0.6406  3 Pd 2.69-2.92, 2 Cd 2.92
Bi 0.5000 0.5000 0.0000  4 Pd 2.83
Ac 0.0000 0.5000 0.7527  8 Bi 3.68-3.75, 6 Pd 3.72-3.80, 2 Cd 3.80
Ac 0.5000 0.0000 0.2473  8 Bi 3.68-3.75, 6 Pd 3.72-3.80, 2 Cd 3.80
Pd 0.5000 0.0000 0.8743  5 Bi 2.69-2.83
Pd 0.0000 0.0000 0.5000  4 Bi 2.92
Pd 0.0000 0.5000 0.1257  5 Bi 2.69-2.83



Here is a geometry-optimized AcTh2As3 structure from the Alexandria database. Energies are from GGA-PBE.

Computed properties:
raw total energy	-6.87	eV per atom
DFT formation energy	-8.34	eV per formula unit

a b c (Å): 4.3444 4.3444 9.6946
angles (deg): 102.95 102.95 89.98
Last column: nearest neighbours and their distance in Å.
Fractional coordinates of all 6 atoms:
As 0.6055 0.6068 0.2164  5 Th 3.00-3.07, 1 Ac 3.15
As 0.2631 0.2644 0.5315  5 Th 3.00-3.07, 1 Ac 3.15
As 0.9341 0.9359 0.8740  2 Th 3.05, 4 Ac 3.07
Th 0.0999 0.1013 0.2053  6 As 3.00-3.07
Th 0.7686 0.7700 0.5426  6 As 3.00-3.07
Ac 0.4341 0.4359 0.8740  6 As 3.07-3.15



The highest raw total energy belongs to which entry? SrSi2Ag



What did the first record say?
Here is a geometry-optimized ReSiIr2 structure from the Alexandria database. Energies are from GGA-PBE.

Computed properties:
raw total energy	-8.79	eV per atom
ΔE_f (raw)	11	kJ/mol of atoms

a b c (Å): 4.3283 4.3283 4.3283
angles (deg): 60.00 60.00 60.00
Last column: nearest neighbours and their distance in Å.
Fractional coordinates of all 4 atoms:
Ir 0.0000 0.0000 0.0000  4 Ir 2.65, 4 Si 2.65
Ir 0.2500 0.2500 0.2500  4 Re 2.65, 4 Ir 2.65
Re 0.5000 0.5000 0.5000  4 Si 2.65, 4 Ir 2.65
Si 0.7500 0.7500 0.7500  4 Re 2.65, 4 Ir 2.65



Which formula does entry 7 have? Ac2CdBi4Pd3



Among the records above, which one has the highest raw total energy? SrSi2Ag